(1)
{
  "formula": "CrTcIr",
  "functional": "meta-GGA SCAN",
  "state": "PBEsol geometry",
  "density_g_cm3": 14.192,
  "dos_ef_per_ev_cell": 2.73,
  "delta_e_f_kcal_per_mol_atoms": 1.455,
  "e_tot_ha_per_atom": -1.52331,
  "lattice_angstrom": [[2.949, 0.000, 0.000], [0.000, 2.949, 0.000], [-1.475, -1.475, 4.604]],
  "species": ["Cr", "Ir", "Tc"],
  "fractional_positions": [[0.985, 0.985, 0.970], [0.660, 0.660, 0.319], [0.355, 0.355, 0.710]]
}

---

(2)
{
  "formula": "CrTeIr2",
  "functional": "meta-GGA SCAN",
  "state": "PBEsol geometry",
  "e_form_raw_ev_per_fu": 2.2,
  "density_g_cm3": 15.360,
  "dos_ef_per_ev_cell": 3.26,
  "e_tot_ha_per_atom": -1.79735,
  "lattice_angstrom": [[-4.040, 0.773, 1.611], [-0.639, 0.182, 4.368], [-0.902, 3.865, 1.942]],
  "species": ["Cr", "Ir", "Ir", "Te"],
  "fractional_positions": [[0.500, 0.500, 0.500], [0.000, 0.000, 0.000], [0.750, 0.750, 0.750], [0.250, 0.250, 0.250]]
}

---

(3)
{
  "formula": "CrTeIr",
  "functional": "meta-GGA SCAN",
  "state": "PBEsol geometry",
  "e_form_raw_ev_per_fu": -1.0,
  "density_g_cm3": 10.506,
  "dos_ef_per_ev_cell": 1.98,
  "e_tot_ha_per_atom": -1.56430,
  "lattice_angstrom": [[-0.282, -1.537, 3.402], [-0.979, -3.339, -1.589], [8.051, -1.397, -2.025]],
  "species": ["Cr", "Cr", "Ir", "Ir", "Te", "Te"],
  "fractional_positions": [[0.457, 0.250, 0.915], [0.543, 0.750, 0.085], [0.945, 0.750, 0.891], [0.055, 0.250, 0.109], [0.835, 0.250, 0.670], [0.165, 0.750, 0.330]]
}